1.
{"formula": "NaPrZn4", "functional": "PBE", "state": "relaxed", "lattice": [[5.535, 0.000, 0.000], [2.768, 4.794, 0.000], [2.768, 1.598, 4.520]], "species": ["Pr", "Zn", "Zn", "Zn", "Zn", "Na"], "fractional_positions": [[0.000, 0.000, 0.000], [0.625, 0.125, 0.625], [0.125, 0.625, 0.625], [0.625, 0.625, 0.625], [0.625, 0.625, 0.125], [0.250, 0.250, 0.250]], "density_g_cm3": 5.89, "crystal_system": "cubic", "final_energy_ev_per_cell": -12.1, "dos_ef_per_ev_atom": 0.97, "magmom_total_mub_per_fu": 0.0}


2.
{"formula": "NaPr5Zn4", "functional": "PBE", "state": "relaxed", "lattice": [[3.707, 0.000, 0.000], [0.000, 3.707, 0.000], [0.000, 0.000, 20.200]], "species": ["Pr", "Pr", "Pr", "Pr", "Pr", "Zn", "Zn", "Zn", "Zn", "Na"], "fractional_positions": [[0.500, 0.500, 0.136], [0.500, 0.500, 0.684], [0.500, 0.500, 0.316], [0.500, 0.500, 0.500], [0.500, 0.500, 0.864], [0.000, 0.000, 0.407], [0.000, 0.000, 0.222], [0.000, 0.000, 0.593], [0.000, 0.000, 0.778], [0.000, 0.000, 0.000]], "density_g_cm3": 5.92, "crystal_system": "tetragonal", "final_energy_ev_per_cell": -32.3, "dos_ef_per_ev_atom": 1.24, "magmom_total_mub_per_fu": 0.0}


3.
{"formula": "Na2PrZn", "functional": "PBE", "state": "relaxed", "lattice": [[-0.366, 1.759, -2.924], [-3.086, 1.193, -0.910], [1.042, 11.087, 4.528]], "species": ["Na", "Na", "Zn", "Pr"], "fractional_positions": [[0.097, 0.097, 0.709], [0.903, 0.903, 0.291], [0.500, 0.500, 0.500], [0.000, 0.000, 0.000]], "density_g_cm3": 3.46, "crystal_system": "trigonal", "final_energy_ev_per_cell": -7.8, "dos_ef_per_ev_atom": 1.01, "magmom_total_mub_per_fu": 0.0}


4.
{"formula": "Na2PrZn9", "functional": "PBE", "state": "relaxed", "lattice": [[-2.238, 4.518, 2.034], [-4.795, 1.743, -1.880], [-6.401, -2.617, 6.036]], "species": ["Zn", "Zn", "Zn", "Zn", "Zn", "Zn", "Zn", "Zn", "Zn", "Na", "Na", "Pr"], "fractional_positions": [[0.585, 0.079, 0.751], [0.415, 0.921, 0.249], [0.921, 0.415, 0.249], [0.500, 0.500, 0.500], [0.585, 0.585, 0.751], [0.665, 0.665, 0.004], [0.335, 0.335, 0.996], [0.415, 0.415, 0.249], [0.079, 0.585, 0.751], [0.856, 0.856, 0.432], [0.144, 0.144, 0.568], [0.000, 0.000, 0.000]], "density_g_cm3": 5.83, "crystal_system": "trigonal", "final_energy_ev_per_cell": -20.5, "dos_ef_per_ev_atom": 0.53, "magmom_total_mub_per_fu": 0.0}